Entry 1:
Entry from Alexandria via LeMat-Bulk: an optimized crystal structure of ZnRuAu2 (PBEsol).

```
data_ZnRuAu2
_cell_length_a 9.199
_cell_length_b 2.729
_cell_length_c 4.929
_cell_angle_alpha 90.00
_cell_angle_beta 101.36
_cell_angle_gamma 90.00
_symmetry_space_group_name_H-M 'C 1 m 1'
_symmetry_Int_Tables_number 8
_symmetry_space_group_name_Hall 'C -2y'
loop_
_atom_site_label
_atom_site_fract_x
_atom_site_fract_y
_atom_site_fract_z
Zn1 0.000 0.000 0.000
Ru1 0.238 0.500 0.232
Au1 0.253 0.000 0.747
Au2 0.491 0.000 0.479
```

Computed properties:
The value obtained for the volume is 15.17 A^3/atom. Its theoretical density is 15.34 g cm⁻³. For the total energy, the calculation gives -4.753 eV per atom. The calculation puts the energy of formation at 0.15 eV/atom. The total magnetization comes out at 0.00 μB per atom.

---

Entry 2:
Entry from Alexandria via LeMat-Bulk: an optimized crystal structure of ZrRu2Au (PBEsol).

```
data_ZrRu2Au
_cell_length_a 4.047
_cell_length_b 4.047
_cell_length_c 7.711
_cell_angle_alpha 90.00
_cell_angle_beta 90.00
_cell_angle_gamma 90.00
_symmetry_space_group_name_H-M 'I 4/m m m'
_symmetry_Int_Tables_number 139
_symmetry_space_group_name_Hall '-I 4 2'
loop_
_atom_site_label
_atom_site_fract_x
_atom_site_fract_y
_atom_site_fract_z
Zr1 0.000 0.000 0.000
Ru1 0.000 0.500 0.250
Au1 0.000 0.000 0.500
```

Computed properties:
The value obtained for the volume is 15.79 A^3/atom. Its theoretical density is 12.89 g cm⁻³. For the total energy, the calculation gives -8.412 eV per atom. Its distance to the lowest polymorph of the same formula is 206.2 meV/atom. The calculation puts the energy of formation at -0.07 eV/atom. The total magnetization comes out at 0.00 μB per atom.